Entry 1:
The following is a PBE-GGA calculation of an optimized crystal structure of PdSBrN2, from Alexandria via LeMat-Bulk.

Values from the calculation:
Polymorph energy (0 for the lowest one) ... 0.0 meV per atom
Energy relative to the elements, uncorrected ... 1573 meV per atom
Energy ... -19.78 eV for the cell shown

Lattice parameters (Å, degrees): 3.7851 3.7851 8.0141 90.00 90.00 90.00
With the nearest neighbours (Å) after each atom.
Space group P4/mmm (No. 123)
One atom of each set of equivalent atoms:
Pd (0.0000, 0.0000, 0.0000) (multiplicity 1)  4 N 1.89
S (0.0000, 0.0000, 0.5000) (multiplicity 1)  4 Br 2.68
Br (0.5000, 0.5000, 0.5000) (multiplicity 1)  4 S 2.68
N (0.0000, 0.5000, 0.0000) (multiplicity 2)  2 Pd 1.89

***

Entry 2:
The following is a PBE-GGA calculation of an optimized crystal structure of Dy4Te5C2, from Alexandria via LeMat-Bulk.

Values from the calculation:
Energy relative to the elements, uncorrected ... -897 meV per atom
Energy ... -124.87 eV for the cell shown

Lattice parameters (Å, degrees): 19.3537 4.1988 8.3707 90.00 104.63 90.00
With the nearest neighbours (Å) after each atom.
Space group C2/m (No. 12)
One atom of each set of equivalent atoms:
Dy (0.0054, 0.0000, 0.2681) (multiplicity 4)  4 C 2.81-3.08, 4 Te 2.97-3.06
Dy (0.1677, 0.5000, 0.5820) (multiplicity 4)  1 C 2.52
Te (0.0000, 0.5000, 0.0000) (multiplicity 2)  4 Dy 3.06
Te (0.1534, 0.0000, 0.8278) (multiplicity 4)  3 Dy 2.97-3.00
Te (0.1663, 0.0000, 0.3125) (multiplicity 4)  4 Dy 3.04-3.11
C (0.0331, 0.5000, 0.4995) (multiplicity 4)  1 C 1.28

***

Entry 3:
The following is a PBE-GGA calculation of an optimized crystal structure of CdPd2RhC, from Alexandria via LeMat-Bulk.

Values from the calculation:
Formation energy ... -0.018 eV per atom
Energy ... -27.96 eV for the cell shown

Lattice parameters (Å, degrees): 4.2609 4.2609 4.0020 90.00 90.00 90.00
With the nearest neighbours (Å) after each atom.
Space group P4/mmm (No. 123)
One atom of each set of equivalent atoms:
Cd (0.0000, 0.0000, 0.0000) (multiplicity 1)  8 Pd 2.92, 4 Rh 3.01
Pd (0.0000, 0.5000, 0.5000) (multiplicity 2)  2 C 2.13
Rh (0.5000, 0.5000, 0.0000) (multiplicity 1)  2 C 2.00
C (0.5000, 0.5000, 0.5000) (multiplicity 1)  2 Rh 2.00, 4 Pd 2.13

***

Entry 4:
The following is a PBE-GGA calculation of an optimized crystal structure of Tb8Nd2Er3, from Alexandria via LeMat-Bulk.

Values from the calculation:
Formation energy ... 0.230 eV per atom
Energy ... -114.54 eV for the cell shown

Lattice parameters (Å, degrees): 7.6234 20.7040 5.5533 90.00 90.00 90.00
With the nearest neighbours (Å) after each atom.
Space group Cmmm (No. 65)
One atom of each set of equivalent atoms:
Tb (0.0000, 0.1285, 0.0000) (multiplicity 4)  4 Er 3.44-3.84, 4 Tb 3.58, 2 Nd 3.62
Tb (0.0000, 0.3377, 0.0000) (multiplicity 4)  4 Tb 3.42, 2 Nd 3.43, 2 Er 3.73
Tb (0.2111, 0.3947, 0.5000) (multiplicity 8)  1 Er 3.10, 3 Tb 3.22-3.42
Nd (0.0000, 0.2406, 0.5000) (multiplicity 4)  8 Tb 3.43-3.62, 2 Nd 3.83
Er (0.0000, 0.0000, 0.5000) (multiplicity 2)  4 Tb 3.10
Er (0.2140, 0.5000, 0.0000) (multiplicity 4)  3 Er 3.26-3.53, 6 Tb 3.44-3.53

***

Entry 5:
The following is a PBE-GGA calculation of an optimized crystal structure of YPb, from Alexandria via LeMat-Bulk.

Values from the calculation:
Formation energy ... -0.005 eV per atom
Energy ... -81.46 eV for the cell shown

Lattice parameters (Å, degrees): 7.8415 7.8415 7.8415 90.00 90.00 90.00
With the nearest neighbours (Å) after each atom.
Space group Fd-3m (No. 227, origin choice 2)
One atom of each set of equivalent atoms:
Y (0.1250, 0.1250, 0.1250) (multiplicity 8)  4 Pb 3.40, 4 Y 3.40
Pb (0.1250, 0.1250, 0.6250) (multiplicity 8)  4 Y 3.40, 4 Pb 3.40

***

Entry 6:
The following is a PBE-GGA calculation of an optimized crystal structure of LiCaHgPt, from Alexandria via LeMat-Bulk.

Values from the calculation:
Formation energy ... -0.523 eV per atom
Energy ... -49.40 eV for the cell shown

Lattice parameters (Å, degrees): 6.9088 6.9088 6.9088 90.00 90.00 90.00
With the nearest neighbours (Å) after each atom.
Space group F-43m (No. 216)
One atom of each set of equivalent atoms:
Li (0.0000, 0.0000, 0.0000) (multiplicity 4)  4 Hg 2.99, 4 Pt 2.99
Ca (0.0000, 0.0000, 0.5000) (multiplicity 4)  4 Pt 2.99, 4 Hg 2.99
Hg (0.2500, 0.2500, 0.2500) (multiplicity 4)  4 Ca 2.99, 4 Li 2.99
Pt (0.2500, 0.2500, 0.7500) (multiplicity 4)  4 Li 2.99, 4 Ca 2.99